1.
Compound: LaBeHg2
Source: Alexandria
Functional: PBE-GGA
Structure: relaxed

Cell lengths 4.2038, 3.7680, 6.2376 Å; angles 77.18, 90.00, 90.00 degrees
Closest atoms and distances in Å follow each position.
Fractional positions:
Be: 0.5000 0.7500 0.7500  4 Hg 2.57
Hg: 0.0000 0.6190 0.5444  2 Be 2.57
Hg: 0.0000 0.8810 0.9556  2 Be 2.57
La: 0.5000 0.2500 0.2500  2 Be 3.27, 8 Hg 3.30-3.39

Computed properties:
Total magnetization in μB per formula unit: 0.0
ΔE_f in eV per atom: -0.010
DOS(E_F) in states/eV/cell: 2.6
Uncorrected energy in eV per atom: -2.3246
Crystal system: monoclinic
Distance to the lowest polymorph of the same formula in eV per atom: 0.097

***

2.
Compound: La4BeHg
Source: Alexandria
Functional: PBE-GGA
Structure: relaxed

Cell lengths 6.4310, 6.4310, 6.4310 Å; angles 60.00, 60.00, 60.00 degrees
Closest atoms and distances in Å follow each position.
Fractional positions:
Be: 0.7500 0.7500 0.7500  12 La 3.77, 4 Hg 3.94
Hg: 0.0000 0.0000 0.0000  12 La 3.77, 4 Be 3.94
La: 0.3754 0.3754 0.3754  6 La 3.21-3.23
La: 0.3754 0.8738 0.3754  6 La 3.21-3.23
La: 0.3754 0.3754 0.8738  6 La 3.21-3.23
La: 0.8738 0.3754 0.3754  6 La 3.21-3.23

Computed properties:
Total magnetization in μB per formula unit: 0.0
ΔE_f in eV per atom: 0.546
DOS(E_F) in states/eV/cell: 8.7
Uncorrected energy in eV per atom: -3.4105
Crystal system: cubic